10
Lattice="-3.462 1.269 3.549 -3.749 -0.758 -3.400 -3.831 -3.194 1.090" Properties=species:S:1:pos:R:3 comment="Na2GaH6Ru, relaxed, DFT GGA-PBE" n_ef_per_ev_atom=0.129 crystal_system=monoclinic energy_ev_per_atom=-3.586 sg="C2/m (12)" pbc="T T T"
H -5.473 0.370 0.118
H -5.570 -3.053 1.120
H -3.531 0.781 1.875
H -7.297 -1.160 0.640
H -3.680 -0.270 -1.727
H -3.746 -1.523 0.599
Ga -3.606 0.256 0.074
Na -5.593 -1.849 -1.119
Na -5.450 -0.834 2.358
Ru 0.000 0.000 0.000